12
Lattice="-3.966 0.167 4.500 5.103 -3.098 0.611 3.173 5.737 2.584" Properties=species:S:1:pos:R:3 comment="PBE K3NaBr2O6, optimized geometry" total_energy_ev_per_cell=-44.87 e_form_raw_ev_per_fu=-7.165 spacegroup=P-3m1 pbc="T T T"
K 4.114 1.668 3.564
K 0.196 1.138 4.131
K 0.000 0.000 0.000
Na 1.587 2.869 1.292
Br 1.717 3.888 5.370
Br 2.593 -1.081 2.325
O 2.570 -0.771 4.091
O 2.060 0.546 1.795
O 4.352 -0.846 2.069
O 2.251 2.260 5.900
O 1.740 3.577 3.604
O -0.042 3.652 5.626

***

4
Lattice="-0.520 5.545 0.694 -1.051 3.294 -4.420 -5.025 2.438 -0.551" Properties=species:S:1:pos:R:3 comment="PBE LaEuHgBi, optimized geometry" total_energy_ev_per_cell=-22.02 spacegroup=F-43m delta_e_f_ev_per_atom=-0.658 pbc="T T T"
Eu -1.649 2.819 -1.069
La -4.948 8.458 -3.208
Bi -3.298 5.638 -2.139
Hg 0.000 0.000 0.000

***

11
Lattice="6.589 0.017 0.072 -3.242 5.737 0.072 -1.175 -2.020 6.711" Properties=species:S:1:pos:R:3 comment="PBE Na2Pu2CrS6, optimized geometry" total_energy_ev_per_cell=-79.49 e_form_raw_ev_per_fu=-13.799 spacegroup=C2/m pbc="T T T"
Na 4.942 0.976 0.072
Na -1.594 4.778 0.072
Pu -0.545 2.816 3.427
Pu 2.718 0.918 3.427
Cr -0.588 -1.010 3.355
S 1.737 2.985 4.881
S -1.609 0.742 4.809
S 0.436 0.749 1.974
S 1.440 -1.032 4.809
S 3.781 2.992 2.046
S 0.732 4.766 2.046

***

4
Lattice="1.396 4.586 -0.007 -1.396 4.586 -0.007 0.000 0.868 4.836" Properties=species:S:1:pos:R:3 comment="PBE Rh2WAu, optimized geometry" total_energy_ev_per_cell=-30.70 spacegroup=C2/m delta_e_f_ev_per_atom=0.058 pbc="T T T"
Rh 0.000 2.988 3.548
Rh 0.000 7.052 1.275
W 0.000 0.434 2.418
Au 0.000 4.586 -0.007